(1)
# Tl3OsAu GGA-PBE relaxed
# * formation energy: 56 kJ/mol of atoms
# * size of the total moment: 0.00 μB/cell
data_Tl3OsAu
_chemical_formula_sum 'Tl3 Os1 Au1'
_cell_length_a 5.279
_cell_length_b 5.279
_cell_length_c 5.279
_cell_angle_alpha 90.00
_cell_angle_beta 90.00
_cell_angle_gamma 90.00
_symmetry_space_group_name_H-M 'P m -3 m'
_symmetry_Int_Tables_number 221
_symmetry_space_group_name_Hall '-P 4 2 3'
loop_
_atom_site_label
_atom_site_type_symbol
_atom_site_fract_x
_atom_site_fract_y
_atom_site_fract_z
_atom_site_occupancy
Tl1 Tl 0.000 0.000 0.500 1
Os1 Os 0.000 0.000 0.000 1
Au1 Au 0.500 0.500 0.500 1

***

(2)
# TlOsAu GGA-PBE relaxed
# * formation energy: 91 kJ/mol of atoms
# * size of the total moment: 0.00 μB/cell
data_TlOsAu
_chemical_formula_sum 'Tl2 Os2 Au2'
_cell_length_a 2.833
_cell_length_b 4.104
_cell_length_c 9.638
_cell_angle_alpha 90.00
_cell_angle_beta 90.00
_cell_angle_gamma 90.00
_symmetry_space_group_name_H-M 'I m m 2'
_symmetry_Int_Tables_number 44
loop_
_symmetry_equiv_pos_as_xyz
'x,y,z'
'-x,-y,z'
'-x,y,z'
'x,-y,z'
'x+1/2,y+1/2,z+1/2'
'-x+1/2,-y+1/2,z+1/2'
'-x+1/2,y+1/2,z+1/2'
'x+1/2,-y+1/2,z+1/2'
loop_
_atom_site_label
_atom_site_type_symbol
_atom_site_fract_x
_atom_site_fract_y
_atom_site_fract_z
_atom_site_occupancy
Tl1 Tl 0.000 0.000 0.000 1
Os1 Os 0.000 0.000 0.333 1
Au1 Au 0.000 0.000 0.684 1

***

(3)
# TlOsAu2 GGA-PBE relaxed
# * formation energy: 60 kJ/mol of atoms
# * size of the total moment: 1.30 μB/cell
data_TlOsAu2
_chemical_formula_sum 'Tl2 Os2 Au4'
_cell_length_a 10.672
_cell_length_b 2.959
_cell_length_c 5.189
_cell_angle_alpha 90.00
_cell_angle_beta 115.66
_cell_angle_gamma 90.00
_symmetry_space_group_name_H-M 'C 1 m 1'
_symmetry_Int_Tables_number 8
loop_
_symmetry_equiv_pos_as_xyz
'x,y,z'
'x,-y,z'
'x+1/2,y+1/2,z'
'x+1/2,-y+1/2,z'
loop_
_atom_site_label
_atom_site_type_symbol
_atom_site_fract_x
_atom_site_fract_y
_atom_site_fract_z
_atom_site_occupancy
Tl1 Tl 0.000 0.000 0.000 1
Os1 Os 0.246 0.500 0.069 1
Au1 Au 0.228 0.000 0.583 1
Au2 Au 0.471 0.000 0.481 1

***

(4)
# TlOs2Au GGA-PBE relaxed
# * formation energy: 108 kJ/mol of atoms
# * size of the total moment: 0.00 μB/cell
data_TlOs2Au
_chemical_formula_sum 'Tl1 Os2 Au1'
_cell_length_a 2.952
_cell_length_b 2.952
_cell_length_c 7.848
_cell_angle_alpha 90.00
_cell_angle_beta 90.00
_cell_angle_gamma 90.00
_symmetry_space_group_name_H-M 'P 4/m m m'
_symmetry_Int_Tables_number 123
_symmetry_space_group_name_Hall '-P 4 2'
loop_
_atom_site_label
_atom_site_type_symbol
_atom_site_fract_x
_atom_site_fract_y
_atom_site_fract_z
_atom_site_occupancy
Tl1 Tl 0.000 0.000 0.000 1
Os1 Os 0.500 0.500 0.268 1
Au1 Au 0.000 0.000 0.500 1

***

(5)
# TlOsAu2 GGA-PBE relaxed
# * formation energy: 62 kJ/mol of atoms
# * size of the total moment: 1.45 μB/cell
data_TlOsAu2
_chemical_formula_sum 'Tl3 Os3 Au6'
_cell_length_a 2.9385
_cell_length_b 2.9385
_cell_length_c 30.6872
_cell_angle_alpha 90.00
_cell_angle_beta 90.00
_cell_angle_gamma 120.00
_symmetry_space_group_name_H-M 'R -3 m'
_symmetry_Int_Tables_number 166
_symmetry_space_group_name_Hall '-R 3 2"'
loop_
_atom_site_label
_atom_site_type_symbol
_atom_site_fract_x
_atom_site_fract_y
_atom_site_fract_z
_atom_site_occupancy
Tl1 Tl 0.0000 0.0000 0.0000 1
Os1 Os 0.0000 0.0000 0.5000 1
Au1 Au 0.0000 0.0000 0.2407 1

***

(6)
# TlOsAu2 GGA-PBE relaxed
# * formation energy: 65 kJ/mol of atoms
# * size of the total moment: 1.81 μB/cell
data_TlOsAu2
_chemical_formula_sum 'Tl2 Os2 Au4'
_cell_length_a 2.905
_cell_length_b 5.115
_cell_length_c 10.376
_cell_angle_alpha 90.00
_cell_angle_beta 90.00
_cell_angle_gamma 90.00
_symmetry_space_group_name_H-M 'C m m m'
_symmetry_Int_Tables_number 65
_symmetry_space_group_name_Hall '-C 2 2'
loop_
_atom_site_label
_atom_site_type_symbol
_atom_site_fract_x
_atom_site_fract_y
_atom_site_fract_z
_atom_site_occupancy
Tl1 Tl 0.000 0.000 0.000 1
Os1 Os 0.000 0.000 0.500 1
Au1 Au 0.000 0.500 0.272 1

***

(7)
# TlOs2Au GGA-PBE relaxed
# * formation energy: 110 kJ/mol of atoms
# * size of the total moment: 0.00 μB/cell
data_TlOs2Au
_chemical_formula_sum 'Tl4 Os8 Au4'
_cell_length_a 6.476
_cell_length_b 6.476
_cell_length_c 6.476
_cell_angle_alpha 90.00
_cell_angle_beta 90.00
_cell_angle_gamma 90.00
_symmetry_space_group_name_H-M 'F m -3 m'
_symmetry_Int_Tables_number 225
_symmetry_space_group_name_Hall '-F 4 2 3'
loop_
_atom_site_label
_atom_site_type_symbol
_atom_site_fract_x
_atom_site_fract_y
_atom_site_fract_z
_atom_site_occupancy
Tl1 Tl 0.000 0.000 0.000 1
Os1 Os 0.250 0.250 0.250 1
Au1 Au 0.000 0.000 0.500 1

***

(8)
# TlOs2Au GGA-PBE relaxed
# * formation energy: 96 kJ/mol of atoms
# * size of the total moment: 0.00 μB/cell
data_TlOs2Au
_chemical_formula_sum 'Tl4 Os8 Au4'
_cell_length_a 4.044
_cell_length_b 4.044
_cell_length_c 19.725
_cell_angle_alpha 90.00
_cell_angle_beta 90.00
_cell_angle_gamma 90.00
_symmetry_space_group_name_H-M 'I -4 2 d'
_symmetry_Int_Tables_number 122
_symmetry_space_group_name_Hall 'I -4 2bw'
loop_
_atom_site_label
_atom_site_type_symbol
_atom_site_fract_x
_atom_site_fract_y
_atom_site_fract_z
_atom_site_occupancy
Tl1 Tl 0.000 0.000 0.000 1
Os1 Os 0.158 0.250 0.625 1
Au1 Au 0.000 0.000 0.500 1

***

(9)
# TlOsAu GGA-PBE relaxed
# * formation energy: 88 kJ/mol of atoms
# * size of the total moment: 2.11 μB/cell
data_TlOsAu
_chemical_formula_sum 'Tl2 Os2 Au2'
_cell_length_a 2.977
_cell_length_b 2.977
_cell_length_c 12.788
_cell_angle_alpha 90.00
_cell_angle_beta 90.00
_cell_angle_gamma 90.00
_symmetry_space_group_name_H-M 'I 4 m m'
_symmetry_Int_Tables_number 107
_symmetry_space_group_name_Hall 'I 4 -2'
loop_
_atom_site_label
_atom_site_type_symbol
_atom_site_fract_x
_atom_site_fract_y
_atom_site_fract_z
_atom_site_occupancy
Tl1 Tl 0.000 0.000 0.000 1
Os1 Os 0.000 0.000 0.337 1
Au1 Au 0.000 0.000 0.687 1

***

(10)
# TlOs2Au GGA-PBE relaxed
# * formation energy: 104 kJ/mol of atoms
# * size of the total moment: 0.14 μB/cell
data_TlOs2Au
_chemical_formula_sum 'Tl1 Os2 Au1'
_cell_length_a 4.082
_cell_length_b 4.082
_cell_length_c 4.090
_cell_angle_alpha 90.00
_cell_angle_beta 90.00
_cell_angle_gamma 90.00
_symmetry_space_group_name_H-M 'P 4/m m m'
_symmetry_Int_Tables_number 123
_symmetry_space_group_name_Hall '-P 4 2'
loop_
_atom_site_label
_atom_site_type_symbol
_atom_site_fract_x
_atom_site_fract_y
_atom_site_fract_z
_atom_site_occupancy
Tl1 Tl 0.000 0.000 0.000 1
Os1 Os 0.000 0.500 0.500 1
Au1 Au 0.500 0.500 0.000 1

***

(11)
# TlOsAu2 GGA-PBE relaxed
# * formation energy: 81 kJ/mol of atoms
# * size of the total moment: 3.77 μB/cell
data_TlOsAu2
_chemical_formula_sum 'Tl4 Os4 Au8'
_cell_length_a 3.952
_cell_length_b 3.952
_cell_length_c 20.318
_cell_angle_alpha 90.00
_cell_angle_beta 90.00
_cell_angle_gamma 90.00
_symmetry_space_group_name_H-M 'I -4 2 d'
_symmetry_Int_Tables_number 122
_symmetry_space_group_name_Hall 'I -4 2bw'
loop_
_atom_site_label
_atom_site_type_symbol
_atom_site_fract_x
_atom_site_fract_y
_atom_site_fract_z
_atom_site_occupancy
Tl1 Tl 0.000 0.000 0.000 1
Os1 Os 0.000 0.000 0.500 1
Au1 Au 0.238 0.250 0.625 1

***

(12)
# TlOsAu GGA-PBE relaxed
# * formation energy: 85 kJ/mol of atoms
# * size of the total moment: 3.54 μB/cell
data_TlOsAu
_chemical_formula_sum 'Tl4 Os4 Au4'
_cell_length_a 2.953
_cell_length_b 5.169
_cell_length_c 14.937
_cell_angle_alpha 90.00
_cell_angle_beta 90.00
_cell_angle_gamma 90.00
_symmetry_space_group_name_H-M 'F m m 2'
_symmetry_Int_Tables_number 42
_symmetry_space_group_name_Hall 'F 2 -2'
loop_
_atom_site_label
_atom_site_type_symbol
_atom_site_fract_x
_atom_site_fract_y
_atom_site_fract_z
_atom_site_occupancy
Tl1 Tl 0.000 0.000 0.000 1
Os1 Os 0.000 0.000 0.666 1
Au1 Au 0.000 0.000 0.322 1

***

(13)
# TlOsAu2 GGA-PBE relaxed
# * formation energy: 57 kJ/mol of atoms
# * size of the total moment: 0.00 μB/cell
data_TlOsAu2
_chemical_formula_sum 'Tl2 Os2 Au4'
_cell_length_a 2.957
_cell_length_b 4.708
_cell_length_c 11.333
_cell_angle_alpha 90.00
_cell_angle_beta 90.00
_cell_angle_gamma 90.00
_symmetry_space_group_name_H-M 'I m m m'
_symmetry_Int_Tables_number 71
_symmetry_space_group_name_Hall '-I 2 2'
loop_
_atom_site_label
_atom_site_type_symbol
_atom_site_fract_x
_atom_site_fract_y
_atom_site_fract_z
_atom_site_occupancy
Tl1 Tl 0.000 0.000 0.000 1
Os1 Os 0.000 0.000 0.500 1
Au1 Au 0.000 0.500 0.207 1

***

(14)
# TlOs4Au GGA-PBE relaxed
# * formation energy: 103 kJ/mol of atoms
# * size of the total moment: 4.97 μB/cell
data_TlOs4Au
_chemical_formula_sum 'Tl4 Os16 Au4'
_cell_length_a 7.452
_cell_length_b 7.452
_cell_length_c 7.452
_cell_angle_alpha 90.00
_cell_angle_beta 90.00
_cell_angle_gamma 90.00
_symmetry_space_group_name_H-M 'F -4 3 m'
_symmetry_Int_Tables_number 216
_symmetry_space_group_name_Hall 'F -4 2 3'
loop_
_atom_site_label
_atom_site_type_symbol
_atom_site_fract_x
_atom_site_fract_y
_atom_site_fract_z
_atom_site_occupancy
Tl1 Tl 0.000 0.000 0.000 1
Os1 Os 0.125 0.125 0.625 1
Au1 Au 0.250 0.250 0.250 1

***

(15)
# TlOs2Au GGA-PBE relaxed
# * formation energy: 59 kJ/mol of atoms
# * size of the total moment: 0.00 μB/cell
data_TlOs2Au
_chemical_formula_sum 'Tl3 Os6 Au3'
_cell_length_a 2.9007
_cell_length_b 2.9007
_cell_length_c 29.1857
_cell_angle_alpha 90.00
_cell_angle_beta 90.00
_cell_angle_gamma 120.00
_symmetry_space_group_name_H-M 'R 3 m'
_symmetry_Int_Tables_number 160
_symmetry_space_group_name_Hall 'R 3 -2"'
loop_
_atom_site_label
_atom_site_type_symbol
_atom_site_fract_x
_atom_site_fract_y
_atom_site_fract_z
_atom_site_occupancy
Tl1 Tl 0.0000 0.0000 0.0000 1
Os1 Os 0.0000 0.0000 0.2453 1
Os2 Os 0.0000 0.0000 0.5112 1
Au1 Au 0.0000 0.0000 0.7622 1

***

(16)
# TlOsAu2 GGA-PBE relaxed
# * formation energy: 61 kJ/mol of atoms
# * size of the total moment: 0.00 μB/cell
data_TlOsAu2
_chemical_formula_sum 'Tl1 Os1 Au2'
_cell_length_a 4.099
_cell_length_b 4.099
_cell_length_c 4.311
_cell_angle_alpha 90.00
_cell_angle_beta 90.00
_cell_angle_gamma 90.00
_symmetry_space_group_name_H-M 'P 4/m m m'
_symmetry_Int_Tables_number 123
_symmetry_space_group_name_Hall '-P 4 2'
loop_
_atom_site_label
_atom_site_type_symbol
_atom_site_fract_x
_atom_site_fract_y
_atom_site_fract_z
_atom_site_occupancy
Tl1 Tl 0.000 0.000 0.000 1
Os1 Os 0.500 0.500 0.000 1
Au1 Au 0.000 0.500 0.500 1

***

(17)
# TlOsAu2 GGA-PBE relaxed
# * formation energy: 64 kJ/mol of atoms
# * size of the total moment: 1.36 μB/cell
data_TlOsAu2
_chemical_formula_sum 'Tl2 Os2 Au4'
_cell_length_a 2.961
_cell_length_b 5.056
_cell_length_c 10.092
_cell_angle_alpha 90.00
_cell_angle_beta 90.00
_cell_angle_gamma 90.00
_symmetry_space_group_name_H-M 'C m m 2'
_symmetry_Int_Tables_number 35
loop_
_symmetry_equiv_pos_as_xyz
'x,y,z'
'-x,-y,z'
'-x,y,z'
'x,-y,z'
'x+1/2,y+1/2,z'
'-x+1/2,-y+1/2,z'
'-x+1/2,y+1/2,z'
'x+1/2,-y+1/2,z'
loop_
_atom_site_label
_atom_site_type_symbol
_atom_site_fract_x
_atom_site_fract_y
_atom_site_fract_z
_atom_site_occupancy
Tl1 Tl 0.000 0.000 0.000 1
Os1 Os 0.000 0.500 0.252 1
Au1 Au 0.000 0.000 0.481 1
Au2 Au 0.000 0.500 0.725 1

***

(18)
# TlOsAu2 GGA-PBE relaxed
# * formation energy: 64 kJ/mol of atoms
# * size of the total moment: 1.11 μB/cell
data_TlOsAu2
_chemical_formula_sum 'Tl1 Os1 Au2'
_cell_length_a 2.971
_cell_length_b 2.971
_cell_length_c 8.468
_cell_angle_alpha 90.00
_cell_angle_beta 90.00
_cell_angle_gamma 90.00
_symmetry_space_group_name_H-M 'P 4 m m'
_symmetry_Int_Tables_number 99
loop_
_symmetry_equiv_pos_as_xyz
'x,y,z'
'-y,x,z'
'-x,-y,z'
'y,-x,z'
'-x,y,z'
'y,x,z'
'x,-y,z'
'-y,-x,z'
loop_
_atom_site_label
_atom_site_type_symbol
_atom_site_fract_x
_atom_site_fract_y
_atom_site_fract_z
_atom_site_occupancy
Tl1 Tl 0.000 0.000 0.000 1
Os1 Os 0.500 0.500 0.750 1
Au1 Au 0.000 0.000 0.529 1
Au2 Au 0.500 0.500 0.285 1

***

(19)
# TlOs2Au GGA-PBE relaxed
# * formation energy: 77 kJ/mol of atoms
# * size of the total moment: 0.21 μB/cell
data_TlOs2Au
_chemical_formula_sum 'Tl2 Os4 Au2'
_cell_length_a 2.860
_cell_length_b 4.975
_cell_length_c 10.200
_cell_angle_alpha 90.00
_cell_angle_beta 90.00
_cell_angle_gamma 90.00
_symmetry_space_group_name_H-M 'C m m 2'
_symmetry_Int_Tables_number 35
loop_
_symmetry_equiv_pos_as_xyz
'x,y,z'
'-x,-y,z'
'-x,y,z'
'x,-y,z'
'x+1/2,y+1/2,z'
'-x+1/2,-y+1/2,z'
'-x+1/2,y+1/2,z'
'x+1/2,-y+1/2,z'
loop_
_atom_site_label
_atom_site_type_symbol
_atom_site_fract_x
_atom_site_fract_y
_atom_site_fract_z
_atom_site_occupancy
Tl1 Tl 0.000 0.000 0.000 1
Os1 Os 0.000 0.000 0.527 1
Os2 Os 0.000 0.500 0.733 1
Au1 Au 0.000 0.500 0.281 1

***

(20)
# TlOs2Au GGA-PBE relaxed
# * formation energy: 84 kJ/mol of atoms
# * size of the total moment: 0.00 μB/cell
data_TlOs2Au
_chemical_formula_sum 'Tl2 Os4 Au2'
_cell_length_a 9.248
_cell_length_b 2.915
_cell_length_c 5.362
_cell_angle_alpha 90.00
_cell_angle_beta 102.63
_cell_angle_gamma 90.00
_symmetry_space_group_name_H-M 'C 1 2/m 1'
_symmetry_Int_Tables_number 12
loop_
_symmetry_equiv_pos_as_xyz
'x,y,z'
'-x,-y,-z'
'-x,y,-z'
'x,-y,z'
'x+1/2,y+1/2,z'
'-x+1/2,-y+1/2,-z'
'-x+1/2,y+1/2,-z'
'x+1/2,-y+1/2,z'
loop_
_atom_site_label
_atom_site_type_symbol
_atom_site_fract_x
_atom_site_fract_y
_atom_site_fract_z
_atom_site_occupancy
Tl1 Tl 0.000 0.000 0.000 1
Os1 Os 0.248 0.500 0.293 1
Au1 Au 0.000 0.500 0.500 1